Entry 1:
The following is a DFT calculation (GGA-PBE) of a geometry-optimized ZrRe2Hg structure.

abc: 4.651 4.651 4.651
angles: 60.00 60.00 60.00
Positions (direct):
Hg: 0.500 0.500 0.500
Re: 0.000 0.000 0.000
Re: 0.750 0.750 0.750
Zr: 0.250 0.250 0.250

Output
Energy of formation from the pure elements: 456 meV per atom
Calculated total energy: -7.98 eV per atom

=====

Entry 2:
The following is a DFT calculation (GGA-PBE) of a geometry-optimized NaGa2RuO6 structure.

abc: 6.017 7.236 7.236
angles: 101.68 74.53 74.53
Positions (direct):
Ga: 0.674 0.292 0.441
O: 0.701 0.786 0.951
O: 0.942 0.366 0.845
O: 0.974 0.324 0.443
O: 0.299 0.214 0.049
O: 0.058 0.634 0.155
O: 0.474 0.443 0.324
Ga: 0.174 0.441 0.292
Na: 0.750 0.096 0.904
Ga: 0.326 0.708 0.559
Ru: 0.250 0.198 0.802
Ga: 0.826 0.559 0.708
Ru: 0.750 0.802 0.198
O: 0.526 0.557 0.676
O: 0.026 0.676 0.557
O: 0.558 0.155 0.634
Na: 0.250 0.904 0.096
O: 0.799 0.049 0.214
O: 0.442 0.845 0.366
O: 0.201 0.951 0.786

Output
Formation energy from raw total energies: -1345 meV/atom
Calculated total energy: -5.98 eV per atom

=====

Entry 3:
The following is a DFT calculation (GGA-PBE) of a geometry-optimized BeCrRh3 structure.

abc: 4.412 4.412 4.412
angles: 90.00 90.00 90.00
Positions (direct):
Rh: 0.000 0.500 0.000
Be: 0.500 0.500 0.500
Rh: 0.000 0.000 0.500
Cr: 0.000 0.000 0.000
Rh: 0.500 0.000 0.000

Output
Offset from the most stable computed form: 0.695 eV/atom
Energy of formation from the pure elements: 1064 meV per atom
Calculated total energy: -6.02 eV per atom

=====

Entry 4:
The following is a DFT calculation (GGA-PBE) of a geometry-optimized TbUH2 structure.

abc: 3.447 3.447 6.455
angles: 74.51 74.51 60.00
Positions (direct):
H: 0.880 0.880 0.360
U: 0.000 0.000 0.000
H: 0.120 0.120 0.640
Tb: 0.500 0.500 0.500

Output
Calculated total energy: -5.82 eV per atom

=====

Entry 5:
The following is a DFT calculation (GGA-PBE) of a geometry-optimized KTe2Pb structure.

abc: 3.436 5.981 6.960
angles: 90.00 90.00 90.00
Positions (direct):
Pb: 0.500 0.500 0.914
Te: 0.000 0.000 0.868
Te: 0.500 0.500 0.349
K: 0.000 0.000 0.369

Output
Formation energy from raw total energies: -484 meV/atom
Calculated total energy: -3.26 eV per atom

=====

Entry 6:
The following is a DFT calculation (GGA-PBE) of a geometry-optimized CdSb2Au2 structure.

abc: 4.197 4.197 7.721
angles: 74.23 74.23 90.00
Positions (direct):
Cd: 0.000 0.000 0.000
Au: 0.750 0.250 0.500
Au: 0.250 0.750 0.500
Sb: 0.386 0.386 0.228
Sb: 0.614 0.614 0.772

Output
Offset from the most stable computed form: 0.117 eV/atom
Formation energy from raw total energies: 94 meV/atom
Calculated total energy: -3.05 eV per atom

=====

Entry 7:
The following is a DFT calculation (GGA-PBE) of a geometry-optimized LaPr2Tm7 structure.

abc: 6.154 7.970 11.269
angles: 135.21 123.05 58.95
Positions (direct):
Tm: 0.501 0.700 0.801
Tm: 0.999 0.798 0.199
La: 0.000 0.000 0.000
Tm: 0.000 0.600 0.400
Tm: 0.499 0.300 0.199
Tm: 0.000 0.400 0.600
Tm: 0.500 0.500 0.000
Pr: 0.501 0.101 0.400
Pr: 0.499 0.899 0.600
Tm: 0.001 0.202 0.801

Output
Offset from the most stable computed form: 0.000 eV/atom
Energy of formation from the pure elements: 27 meV per atom
Calculated total energy: -4.55 eV per atom

=====

Entry 8:
The following is a DFT calculation (GGA-PBE) of a geometry-optimized AcSi3Pd10 structure.

abc: 8.769 8.769 8.769
angles: 60.00 60.00 60.00
Positions (direct):
Pd: 0.344 0.000 0.000
Ac: 0.750 0.750 0.750
Pd: 0.387 0.839 0.387
Pd: 0.000 0.344 0.000
Si: 0.264 0.736 0.264
Si: 0.736 0.264 0.736
Si: 0.736 0.264 0.264
Pd: 0.613 0.613 0.613
Pd: 0.387 0.387 0.387
Pd: 0.839 0.387 0.387
Ac: 0.250 0.250 0.250
Pd: 0.000 0.344 0.656
Si: 0.264 0.264 0.736
Pd: 0.000 0.656 0.000
Pd: 0.656 0.344 0.000
Pd: 0.344 0.656 0.000
Pd: 0.161 0.613 0.613
Pd: 0.000 0.000 0.344
Si: 0.264 0.736 0.736
Pd: 0.656 0.000 0.000
Si: 0.736 0.736 0.264
Pd: 0.000 0.000 0.656
Pd: 0.344 0.000 0.656
Pd: 0.613 0.161 0.613
Pd: 0.613 0.613 0.161
Pd: 0.000 0.656 0.344
Pd: 0.656 0.000 0.344
Pd: 0.387 0.387 0.839

Output
Formation energy from raw total energies: -682 meV/atom
Calculated total energy: -5.85 eV per atom

=====

Entry 9:
The following is a DFT calculation (GGA-PBE) of a geometry-optimized RbSn4Se8 structure.

abc: 7.824 7.824 9.908
angles: 66.75 66.75 60.00
Positions (direct):
Se: 0.772 0.772 0.181
Se: 0.228 0.228 0.819
Se: 0.228 0.725 0.819
Sn: 0.500 0.000 0.000
Se: 0.275 0.772 0.181
Sn: 0.000 0.500 0.000
Se: 0.273 0.273 0.181
Se: 0.725 0.228 0.819
Rb: 0.500 0.500 0.500
Se: 0.727 0.727 0.819
Sn: 0.500 0.500 0.000
Sn: 0.000 0.000 0.000
Se: 0.772 0.275 0.181

Output
Offset from the most stable computed form: 0.000 eV/atom
Formation energy from raw total energies: -500 meV/atom
Calculated total energy: -3.95 eV per atom

=====

Entry 10:
The following is a DFT calculation (GGA-PBE) of a geometry-optimized Ba6PdRh2Br3 structure.

abc: 7.929 7.929 8.623
angles: 98.82 98.82 120.01
Positions (direct):
Br: 0.500 0.500 0.500
Ba: 0.071 0.416 0.212
Rh: 0.667 0.333 0.000
Ba: 0.275 0.275 0.788
Pd: 0.000 0.000 0.000
Br: 0.166 0.834 0.500
Ba: 0.725 0.725 0.212
Br: 0.834 0.166 0.500
Rh: 0.333 0.667 0.000
Ba: 0.416 0.071 0.212
Ba: 0.584 0.929 0.788
Ba: 0.929 0.584 0.788

Output
Formation energy from raw total energies: -1004 meV/atom
Calculated total energy: -4.04 eV per atom

=====

Entry 11:
The following is a DFT calculation (GGA-PBE) of a geometry-optimized Pm2CrAs4Ir3 structure.

abc: 4.283 4.283 10.154
angles: 90.00 90.00 90.00
Positions (direct):
Ir: 0.000 0.000 0.500
Ir: 0.500 0.000 0.878
Pm: 0.500 0.000 0.243
As: 0.500 0.500 0.000
Ir: 0.000 0.500 0.122
As: 0.000 0.500 0.365
Pm: 0.000 0.500 0.757
As: 0.500 0.000 0.635
Cr: 0.500 0.500 0.500
As: 0.000 0.000 0.000

Output
Energy of formation from the pure elements: -706 meV per atom
Calculated total energy: -7.14 eV per atom

=====

Entry 12:
The following is a DFT calculation (GGA-PBE) of a geometry-optimized K2TaTl structure.

abc: 5.583 5.583 5.583
angles: 60.00 60.00 60.00
Positions (direct):
Ta: 0.500 0.500 0.500
K: 0.250 0.250 0.250
Tl: 0.750 0.750 0.750
K: 0.000 0.000 0.000

Output
Offset from the most stable computed form: 0.430 eV/atom
Energy of formation from the pure elements: 1192 meV per atom
Calculated total energy: -2.91 eV per atom